Record 1
First-principles (GGA+U) data for a geometry-optimized AlVO3 structure, as listed in Alexandria via LeMat-Bulk.

Cell and atoms, written as extended XYZ:
```
10
Lattice="3.175 0.000 0.000 -1.588 2.750 0.000 0.000 0.000 12.050" Properties=species:S:1:pos:R:3 pbc="T T T"
Al 0.000 0.000 0.000
Al 0.000 0.000 6.025
V 0.000 1.833 3.012
V 1.588 0.917 9.037
O 0.000 0.000 3.012
O 0.000 0.000 9.037
O 0.000 1.833 0.914
O 0.000 1.833 5.111
O 1.588 0.917 6.939
O 1.588 0.917 11.136
```

Computed properties:
Volume, Å³ per atom: 10.52
Space group: P6_3/mmc, No. 194
DFT total energy, eV/atom: -7.44



Record 2
First-principles (GGA+U) data for a geometry-optimized AlVO3 structure, as listed in Alexandria via LeMat-Bulk.

Cell and atoms, written as extended XYZ:
```
20
Lattice="5.121 -3.849 0.000 5.121 3.849 0.000 -1.052 0.000 4.965" Properties=species:S:1:pos:R:3 pbc="T T T"
Al 1.519 1.208 1.493
Al 0.993 -1.208 3.976
Al 8.198 1.208 0.989
Al 7.672 -1.208 3.472
V 4.858 2.664 1.241
V 4.332 0.112 3.724
V 4.858 -0.112 1.241
V 4.332 -2.664 3.724
O 0.705 0.031 2.667
O 1.231 -0.031 0.185
O 3.193 1.302 2.172
O 3.088 1.349 4.715
O 5.577 1.349 2.733
O 6.524 1.302 0.311
O 2.667 -1.302 4.654
O 3.614 -1.349 2.232
O 6.103 -1.349 0.250
O 5.998 -1.302 2.794
O 7.960 0.031 4.781
O 8.486 -0.031 2.298
```

Computed properties:
Volume, Å³ per atom: 9.79
Space group: C2/c, No. 15
DFT total energy, eV/atom: -7.46



| no. | M_tot (μB/cell) |
| --- | --- |
| 1 | 4.0 |
| 2 | 5.5 |